(1)
Material: Ca2AcNd2
Method: DFT, PBE
State: optimized geometry

a = 9.811 Å, b = 9.811 Å, c = 4.094 Å
α = 90.00°, β = 90.00°, γ = 90.00°
Fractional positions:
Ca  0.173  0.327  0.000
Ca  0.327  0.827  0.000
Ca  0.673  0.173  0.000
Ca  0.827  0.673  0.000
Ac  0.000  0.000  0.500
Ac  0.500  0.500  0.500
Nd  0.123  0.623  0.500
Nd  0.377  0.123  0.500
Nd  0.623  0.877  0.500
Nd  0.877  0.377  0.500

Formation energy from the elements = 0.14 eV/atom
Symmetry = P4/mbm (127)

---

(2)
Material: CaAcNd2
Method: DFT, PBE
State: optimized geometry

a = 3.803 Å, b = 3.803 Å, c = 37.263 Å
α = 90.00°, β = 90.00°, γ = 120.00°
Fractional positions:
Ca  0.000  0.000  0.000
Ca  0.333  0.667  0.667
Ca  0.667  0.333  0.333
Ac  0.000  0.000  0.166
Ac  0.333  0.667  0.833
Ac  0.667  0.333  0.499
Nd  0.000  0.000  0.581
Nd  0.000  0.000  0.751
Nd  0.333  0.667  0.248
Nd  0.333  0.667  0.417
Nd  0.667  0.333  0.084
Nd  0.667  0.333  0.915

Formation energy from the elements = 0.05 eV/atom
Symmetry = R3m (160)
E above lowest polymorph = 0.000 eV per atom